[1]
Material: Ca2Ga5CoPd2
Method: DFT, PBE-GGA
State: optimized geometry

Lattice parameters (Å, degrees): 10.145 10.145 3.518 90.00 90.00 90.00
Space group P4/mbm (No. 127)
Inequivalent atoms, fractional coordinates:
Ca 0.181 0.319 0.000
Ga 0.000 0.500 0.500
Ga 0.050 0.817 0.500
Co 0.000 0.000 0.000
Pd 0.124 0.624 0.000

Computed properties:
Formation energy from the elements in eV per atom: -0.4027

=====

[2]
Material: MoIr2Se
Method: DFT, PBE-GGA
State: optimized geometry

Lattice parameters (Å, degrees): 2.833 4.798 9.443 90.00 90.00 90.00
Space group Cmmm (No. 65)
Inequivalent atoms, fractional coordinates:
Mo 0.000 0.000 0.000
Ir 0.000 0.500 0.238
Se 0.000 0.000 0.500

Computed properties:
Uncorrected formation energy in eV/atom: 0.391

=====

[3]
Material: InSb2Pb
Method: DFT, PBE-GGA
State: optimized geometry

Lattice parameters (Å, degrees): 4.3007 4.3007 23.0739 90.00 90.00 120.00
Space group R3m (No. 160, hexagonal axes)
Inequivalent atoms, fractional coordinates:
In 0.0000 0.0000 0.0000
Sb 0.0000 0.0000 0.4115
Sb 0.0000 0.0000 0.5920
Pb 0.0000 0.0000 0.1674

Computed properties:
Uncorrected formation energy in eV/atom: 0.072
Distance to the lowest polymorph of the same formula in eV per formula unit: 0.09

=====

no.,total magnetic moment (Bohr magnetons per cell),raw total energy (eV/atom)
1,2.10,-4.07
2,0.00,-7.62
3,0.00,-3.60